1.
Computed, not measured: Cs4K3Rb5 after structural relaxation at the GGA-PBE level of DFT.

Properties
DFT formation energy   0.032 eV per atom
Volume   96.34 A^3/atom
Fermi-level density of states   0.95 states/eV/atom

Geometry as CIF:
```
data_Cs4K3Rb5
_chemical_formula_sum 'Cs8 K6 Rb10'
_symmetry_space_group_name_H-M 'C 1 2/m 1'
_symmetry_Int_Tables_number 12
_symmetry_space_group_name_Hall '-C 2y'
_cell_length_a 22.7139
_cell_length_b 8.5514
_cell_length_c 13.5543
_cell_angle_alpha 90.00
_cell_angle_beta 118.57
_cell_angle_gamma 90.00
loop_
_atom_site_label
_atom_site_type_symbol
_atom_site_fract_x
_atom_site_fract_y
_atom_site_fract_z
Cs1 Cs 0.0814 0.0000 0.4304
Cs2 Cs 0.2086 0.0000 0.8786
K1 K 0.0000 0.5000 0.0000
K2 K 0.2268 0.0000 0.2553
Rb1 Rb 0.0000 0.0000 0.0000
Rb2 Rb 0.0630 0.5000 0.7084
Rb3 Rb 0.1711 0.5000 0.3606
```

---

2.
Computed, not measured: CsK7Rb2 after structural relaxation at the GGA-PBE level of DFT.

Properties
DFT formation energy   0.025 eV per atom
Volume   80.95 A^3/atom
Fermi-level density of states   0.66 states/eV/atom

Geometry as CIF:
```
data_CsK7Rb2
_chemical_formula_sum 'Cs2 K14 Rb4'
_symmetry_space_group_name_H-M 'C m m m'
_symmetry_Int_Tables_number 65
_symmetry_space_group_name_Hall '-C 2 2'
_cell_length_a 8.7372
_cell_length_b 39.8134
_cell_length_c 4.6545
_cell_angle_alpha 90.00
_cell_angle_beta 90.00
_cell_angle_gamma 90.00
loop_
_atom_site_label
_atom_site_type_symbol
_atom_site_fract_x
_atom_site_fract_y
_atom_site_fract_z
Cs1 Cs 0.0000 0.0000 0.0000
K1 K 0.0000 0.3110 0.0000
K2 K 0.0000 0.5000 0.5000
K3 K 0.2490 0.3988 0.5000
Rb1 Rb 0.0000 0.2069 0.5000
```